Entry 1:
ScMnAg after structural relaxation. Source: Alexandria, functional PBE.

abc: 6.137 6.137 6.137
angles: 151.07 151.07 41.38
Sites, in units of the cell vectors:
Sc (0.000, 0.000, 0.000)
Mn (0.343, 0.343, 0.000)
Ag (0.688, 0.688, 0.000)

- Fermi-level density of states (states/eV per atom) = 0.7656
- crystal system = tetragonal
- energy of formation from the pure elements (eV per atom) = 0.043
- calculated volume (Å³/f.u.) = 53.98

=====

Entry 2:
InOs3N after structural relaxation. Source: Alexandria, functional PBE.

abc: 4.128 4.128 4.128
angles: 90.00 90.00 90.00
Sites, in units of the cell vectors:
In (0.000, 0.000, 0.000)
Os (0.000, 0.500, 0.500)
Os (0.500, 0.000, 0.500)
Os (0.500, 0.500, 0.000)
N (0.500, 0.500, 0.500)

- Fermi-level density of states (states/eV per atom) = 0.5022
- E_form (uncorrected) (eV/atom) = 0.700
- crystal system = cubic
- calculated volume (Å³/f.u.) = 70.37

=====

Entry 3:
Rb2ZrNbBr6 after structural relaxation. Source: Alexandria, functional PBE.

abc: 7.720 7.720 7.720
angles: 60.00 60.00 60.00
Sites, in units of the cell vectors:
Rb (0.250, 0.250, 0.250)
Rb (0.750, 0.750, 0.750)
Zr (0.000, 0.000, 0.000)
Nb (0.500, 0.500, 0.500)
Br (0.252, 0.252, 0.748)
Br (0.252, 0.748, 0.252)
Br (0.252, 0.748, 0.748)
Br (0.748, 0.252, 0.252)
Br (0.748, 0.252, 0.748)
Br (0.748, 0.748, 0.252)

- Fermi-level density of states (states/eV per atom) = 0.5883
- E_form (uncorrected) (eV/atom) = -1.049
- crystal system = cubic
- calculated volume (Å³/f.u.) = 325.37

=====

Entry 4:
AsH5Pd4 after structural relaxation. Source: Alexandria, functional PBE.

abc: 5.689 9.363 4.258
angles: 90.00 90.00 90.00
Sites, in units of the cell vectors:
As (0.250, 0.250, 0.243)
As (0.750, 0.750, 0.757)
H (0.007, 0.558, 0.243)
H (0.007, 0.942, 0.243)
H (0.250, 0.750, 0.504)
H (0.493, 0.558, 0.243)
H (0.493, 0.942, 0.243)
H (0.507, 0.058, 0.757)
H (0.507, 0.442, 0.757)
H (0.750, 0.250, 0.496)
H (0.993, 0.058, 0.757)
H (0.993, 0.442, 0.757)
Pd (0.001, 0.250, 0.732)
Pd (0.250, 0.003, 0.005)
Pd (0.250, 0.497, 0.005)
Pd (0.499, 0.250, 0.732)
Pd (0.501, 0.750, 0.268)
Pd (0.750, 0.503, 0.995)
Pd (0.750, 0.997, 0.995)
Pd (0.999, 0.750, 0.268)

- Fermi-level density of states (states/eV per atom) = 0.0966
- total DFT energy (no corrections) (eV/atom) = -4.261
- crystal system = orthorhombic
- calculated volume (Å³/f.u.) = 113.40

=====

Entry 5:
Tb2NdHo after structural relaxation. Source: Alexandria, functional PBE.

abc: 5.707 5.707 5.707
angles: 60.00 60.00 60.00
Sites, in units of the cell vectors:
Tb (0.250, 0.250, 0.250)
Tb (0.750, 0.750, 0.750)
Nd (0.000, 0.000, 0.000)
Ho (0.500, 0.500, 0.500)

- Fermi-level density of states (states/eV per atom) = 2.4234
- crystal system = cubic
- energy of formation from the pure elements (eV per atom) = 0.144
- calculated volume (Å³/f.u.) = 131.43

=====

Entry 6:
VP3Os after structural relaxation. Source: Alexandria, functional PBE.

abc: 4.430 4.430 4.430
angles: 90.00 90.00 90.00
Sites, in units of the cell vectors:
V (0.000, 0.000, 0.000)
P (0.000, 0.000, 0.500)
P (0.000, 0.500, 0.000)
P (0.500, 0.000, 0.000)
Os (0.500, 0.500, 0.500)

- Fermi-level density of states (states/eV per atom) = 1.0664
- crystal system = cubic
- energy of formation from the pure elements (eV per atom) = 1.106
- calculated volume (Å³/f.u.) = 86.95

=====

Entry 7:
Cu3Ni4Pd12 after structural relaxation. Source: Alexandria, functional PBE.

abc: 7.901 7.901 7.901
angles: 109.47 109.47 109.47
Sites, in units of the cell vectors:
Cu (0.000, 0.500, 0.500)
Cu (0.500, 0.000, 0.500)
Cu (0.500, 0.500, 0.000)
Ni (0.000, 0.000, 0.500)
Ni (0.000, 0.500, 0.000)
Ni (0.500, 0.000, 0.000)
Ni (0.500, 0.500, 0.500)
Pd (0.096, 0.744, 0.351)
Pd (0.256, 0.351, 0.607)
Pd (0.256, 0.649, 0.904)
Pd (0.351, 0.096, 0.744)
Pd (0.351, 0.607, 0.256)
Pd (0.393, 0.744, 0.649)
Pd (0.607, 0.256, 0.351)
Pd (0.649, 0.393, 0.744)
Pd (0.649, 0.904, 0.256)
Pd (0.744, 0.351, 0.096)
Pd (0.744, 0.649, 0.393)
Pd (0.904, 0.256, 0.649)

- Fermi-level density of states (states/eV per atom) = 1.3202
- crystal system = cubic
- energy of formation from the pure elements (eV per atom) = 0.487
- calculated volume (Å³/f.u.) = 379.73

=====

Entry 8:
LaReMo3 after structural relaxation. Source: Alexandria, functional PBE.

abc: 4.680 4.680 4.680
angles: 90.00 90.00 90.00
Sites, in units of the cell vectors:
La (0.000, 0.000, 0.000)
Re (0.500, 0.500, 0.500)
Mo (0.000, 0.000, 0.500)
Mo (0.000, 0.500, 0.000)
Mo (0.500, 0.000, 0.000)

- Fermi-level density of states (states/eV per atom) = 2.7666
- crystal system = cubic
- energy of formation from the pure elements (eV per atom) = 2.629
- calculated volume (Å³/f.u.) = 102.51

=====

Entry 9:
Cu2NF after structural relaxation. Source: Alexandria, functional PBE.

abc: 5.581 5.581 5.581
angles: 129.70 129.70 73.89
Sites, in units of the cell vectors:
Cu (0.058, 0.625, 0.933)
Cu (0.375, 0.308, 0.433)
Cu (0.692, 0.125, 0.067)
Cu (0.875, 0.942, 0.567)
N (0.000, 0.000, 0.000)
N (0.750, 0.250, 0.500)
F (0.250, 0.750, 0.500)
F (0.500, 0.500, 0.000)

- Fermi-level density of states (states/eV per atom) = 0.3596
- E_form (uncorrected) (eV/atom) = -0.158
- crystal system = tetragonal
- calculated volume (Å³/f.u.) = 50.18

=====

Entry 10:
Sc3SnPb after structural relaxation. Source: Alexandria, functional PBE.

abc: 5.324 5.324 5.324
angles: 90.00 90.00 90.00
Sites, in units of the cell vectors:
Sc (0.000, 0.000, 0.500)
Sc (0.000, 0.500, 0.000)
Sc (0.500, 0.000, 0.000)
Sn (0.000, 0.000, 0.000)
Pb (0.500, 0.500, 0.500)

- Fermi-level density of states (states/eV per atom) = 0.9539
- crystal system = cubic
- energy of formation from the pure elements (eV per atom) = 0.053
- calculated volume (Å³/f.u.) = 150.89

=====

Entry 11:
Nd3Dy after structural relaxation. Source: Alexandria, functional PBE.

abc: 7.388 7.388 5.870
angles: 90.00 90.00 120.00
Sites, in units of the cell vectors:
Nd (0.167, 0.335, 0.250)
Nd (0.167, 0.833, 0.250)
Nd (0.335, 0.167, 0.750)
Nd (0.665, 0.833, 0.250)
Nd (0.833, 0.167, 0.750)
Nd (0.833, 0.665, 0.750)
Dy (0.333, 0.667, 0.750)
Dy (0.667, 0.333, 0.250)

- Fermi-level density of states (states/eV per atom) = 1.7117
- crystal system = hexagonal
- energy of formation from the pure elements (eV per atom) = 0.026
- calculated volume (Å³/f.u.) = 138.75

=====

Entry 12:
ScTl7 after structural relaxation. Source: Alexandria, functional PBE.

abc: 6.827 6.827 6.827
angles: 60.00 60.00 60.00
Sites, in units of the cell vectors:
Sc (0.000, 0.000, 0.000)
Tl (0.000, 0.000, 0.500)
Tl (0.000, 0.500, 0.000)
Tl (0.000, 0.500, 0.500)
Tl (0.500, 0.000, 0.000)
Tl (0.500, 0.000, 0.500)
Tl (0.500, 0.500, 0.000)
Tl (0.500, 0.500, 0.500)

- Fermi-level density of states (states/eV per atom) = 0.3576
- crystal system = cubic
- energy of formation from the pure elements (eV per atom) = -0.002
- calculated volume (Å³/f.u.) = 224.95

=====

For the records above, the corresponding magnetic moment values read 2.8 0.0 1.0 0.0 0.0 1.7 7.4 0.0 0.0 0.0 0.0 0.0 μB/cell.